[1]
# Mg3NiIr PBE relaxed
data_Mg3NiIr
_chemical_formula_sum 'Mg3 Ni1 Ir1'
_space_group_name_H-M_alt 'P m -3 m'
_space_group_IT_number 221
_space_group_name_Hall '-P 4 2 3'
_cell_length_a 4.547
_cell_length_b 4.547
_cell_length_c 4.547
_cell_angle_alpha 90.00
_cell_angle_beta 90.00
_cell_angle_gamma 90.00
loop_
_atom_site_label
_atom_site_type_symbol
_atom_site_fract_x
_atom_site_fract_y
_atom_site_fract_z
_atom_site_occupancy
Mg1 Mg 0.000 0.000 0.500 1
Ni1 Ni 0.000 0.000 0.000 1
Ir1 Ir 0.500 0.500 0.500 1
# calculated total energy: -3.390 eV/atom
# offset from the most stable computed form: 3 meV per atom
# E_form: 2.5 eV per formula unit



[2]
# Sr2Sc2Ge PBE relaxed
data_Sr2Sc2Ge
_chemical_formula_sum 'Sr4 Sc4 Ge2'
_space_group_name_H-M_alt 'P 4/m b m'
_space_group_IT_number 127
_space_group_name_Hall '-P 4 2ab'
_cell_length_a 7.450
_cell_length_b 7.450
_cell_length_c 5.703
_cell_angle_alpha 90.00
_cell_angle_beta 90.00
_cell_angle_gamma 90.00
loop_
_atom_site_label
_atom_site_type_symbol
_atom_site_fract_x
_atom_site_fract_y
_atom_site_fract_z
_atom_site_occupancy
Sr1 Sr 0.170 0.330 0.000 1
Sc1 Sc 0.155 0.655 0.500 1
Ge1 Ge 0.000 0.000 0.500 1
# calculated total energy: -4.157 eV/atom
# E_form: -0.1 eV per formula unit



[3]
# Y3Tm2Te6 PBE relaxed
data_Y3Tm2Te6
_chemical_formula_sum 'Y9 Tm6 Te18'
_space_group_name_H-M_alt 'R -3 m'
_space_group_IT_number 166
_space_group_name_Hall '-R 3 2"'
_cell_length_a 4.3431
_cell_length_b 4.3431
_cell_length_c 64.7324
_cell_angle_alpha 90.00
_cell_angle_beta 90.00
_cell_angle_gamma 120.00
loop_
_atom_site_label
_atom_site_type_symbol
_atom_site_fract_x
_atom_site_fract_y
_atom_site_fract_z
_atom_site_occupancy
Y1 Y 0.0000 0.0000 0.0000 1
Y2 Y 0.0000 0.0000 0.2787 1
Tm1 Tm 0.0000 0.0000 0.4471 1
Te1 Te 0.0000 0.0000 0.0836 1
Te2 Te 0.0000 0.0000 0.1953 1
Te3 Te 0.0000 0.0000 0.3609 1
# E_form (uncorrected): -14.378 eV/f.u.
# calculated total energy: -5.597 eV/atom



What are the size of the total moment values for these records? In order: 0.00; 0.00; 0.00 μB per formula unit.